{
  "formula": "CdSb2TeCl",
  "functional": "PBE-GGA",
  "state": "relaxed",
  "lattice_angstrom": [[-1.372, -5.181, 0.927], [4.343, -0.623, 2.943], [-2.777, 1.526, 4.421]],
  "species": ["Cd", "Te", "Cl", "Sb", "Sb"],
  "frac_coords": [[0.000, 0.500, 0.000], [0.500, 0.500, 0.500], [0.000, 0.000, 0.000], [0.000, 0.000, 0.500], [0.500, 0.000, 0.000]],
  "space_group": "P4/mmm (123)",
  "relative_energy_kj_per_mol_atoms": 0.0,
  "formation_energy_uncorrected_ev_per_atom": 0.5889,
  "dft_energy_ev_per_atom": -2.2407
}


{
  "formula": "CdSb2TeCl",
  "functional": "PBE-GGA",
  "state": "relaxed",
  "lattice_angstrom": [[5.586, 0.000, 0.000], [0.000, 5.586, 0.000], [0.000, 0.000, 5.515]],
  "species": ["Cd", "Te", "Sb", "Sb", "Cl"],
  "frac_coords": [[0.000, 0.000, 0.000], [0.000, 0.000, 0.500], [0.500, 0.000, 0.000], [0.000, 0.500, 0.000], [0.500, 0.500, 0.500]],
  "space_group": "P4/mmm (123)",
  "relative_energy_kj_per_mol_atoms": 0.0,
  "formation_energy_uncorrected_ev_per_atom": 0.5891,
  "dft_energy_ev_per_atom": -2.2406
}